Entry 1:
Compound: HgOsPd3
Source: Alexandria
Functional: PBE-GGA
Structure: relaxed

a = 4.8474 Å, b = 4.8474 Å, c = 4.8474 Å
α = 90.00°, β = 90.00°, γ = 90.00°
Closest atoms and distances in Å follow each position.
Atoms (fractional coordinates):
Os 0.0000 0.0000 0.0000  6 Pd 2.42
Hg 0.5000 0.5000 0.5000  12 Pd 3.43
Pd 0.0000 0.5000 0.0000  2 Os 2.42
Pd 0.0000 0.0000 0.5000  2 Os 2.42
Pd 0.5000 0.0000 0.0000  2 Os 2.42

Output
- Space-group type: Pm-3m (221)
- Energy of formation from the pure elements: 1139 meV per atom

Entry 2:
Compound: Ac2TlZnO5
Source: Alexandria
Functional: PBE-GGA
Structure: relaxed

a = 5.9477 Å, b = 7.2302 Å, c = 7.2302 Å
α = 90.00°, β = 90.00°, γ = 90.00°
Closest atoms and distances in Å follow each position.
Atoms (fractional coordinates):
Ac 0.5000 0.6794 0.1794  8 O 2.48-2.72
Ac 0.5000 0.1794 0.3206  8 O 2.48-2.72
Ac 0.5000 0.8206 0.6794  8 O 2.48-2.72
Ac 0.5000 0.3206 0.8206  8 O 2.48-2.72
Tl 0.0000 0.5000 0.5000  10 O 2.97-3.19
Tl 0.0000 0.0000 0.0000  10 O 2.97-3.19
Zn 0.0000 0.0000 0.5000  4 O 1.97
Zn 0.0000 0.5000 0.0000  4 O 1.97
O 0.5000 0.5000 0.5000  4 Ac 2.66, 2 Tl 2.97
O 0.5000 0.0000 0.0000  4 Ac 2.66, 2 Tl 2.97
O 0.2454 0.1287 0.6287  1 Zn 1.97
O 0.2454 0.8713 0.3713  1 Zn 1.97
O 0.2454 0.3713 0.1287  1 Zn 1.97
O 0.2454 0.6287 0.8713  1 Zn 1.97
O 0.7546 0.1287 0.6287  1 Zn 1.97
O 0.7546 0.6287 0.8713  1 Zn 1.97
O 0.7546 0.8713 0.3713  1 Zn 1.97
O 0.7546 0.3713 0.1287  1 Zn 1.97

Output
- Space-group type: P4/mbm (127)
- ΔE_f (raw): -2.111 eV per atom

Entry 3:
Compound: CoAsOs2
Source: Alexandria
Functional: PBE-GGA
Structure: relaxed

a = 8.3642 Å, b = 8.3642 Å, c = 8.3642 Å
α = 19.18°, β = 19.18°, γ = 19.18°
Closest atoms and distances in Å follow each position.
Atoms (fractional coordinates):
As 0.4951 0.4951 0.4951  3 Co 2.44, 3 Os 2.68
Co 0.7540 0.7540 0.7540  3 As 2.44, 3 Os 2.65
Os 0.0020 0.0020 0.0020  3 Co 2.65, 9 Os 2.67-2.79
Os 0.2489 0.2489 0.2489  9 Os 2.67-2.79, 3 As 2.68

Output
- Space-group type: R3m (160)
- Energy of formation from the pure elements: 289 meV per atom

Entry 4:
Compound: AcPaTe4
Source: Alexandria
Functional: PBE-GGA
Structure: relaxed

a = 4.6934 Å, b = 7.4669 Å, c = 7.4668 Å
α = 89.52°, β = 90.00°, γ = 90.00°
Closest atoms and distances in Å follow each position.
Atoms (fractional coordinates):
Ac 0.0000 0.5000 0.5000  6 Te 3.28-3.37
Pa 0.5000 0.0000 0.0000  6 Te 2.97-3.04
Te 0.5000 0.2824 0.7177  1 Pa 2.97, 2 Ac 3.28
Te 0.0000 0.8177 0.8177  2 Pa 3.04, 1 Ac 3.37
Te 0.0000 0.1823 0.1823  2 Pa 3.04, 1 Ac 3.37
Te 0.5000 0.7176 0.2823  1 Pa 2.97, 2 Ac 3.28

Output
- Space-group type: Cmmm (65)
- ΔE_f (raw): -0.980 eV per atom

Entry 5:
Compound: RbAcAs2Pt4
Source: Alexandria
Functional: PBE-GGA
Structure: relaxed

a = 4.1330 Å, b = 4.1330 Å, c = 11.6524 Å
α = 90.00°, β = 90.00°, γ = 90.00°
Closest atoms and distances in Å follow each position.
Atoms (fractional coordinates):
Rb 0.0000 0.0000 0.5000  8 As 3.60, 8 Pt 4.03
Ac 0.0000 0.0000 0.0000  8 Pt 3.14
As 0.5000 0.5000 0.3193  4 Pt 2.47
As 0.5000 0.5000 0.6807  4 Pt 2.47
Pt 0.0000 0.5000 0.2031  2 As 2.47
Pt 0.5000 0.0000 0.7969  2 As 2.47
Pt 0.5000 0.0000 0.2031  2 As 2.47
Pt 0.0000 0.5000 0.7969  2 As 2.47

Output
- Space-group type: P4/mmm (123)
- Energy of formation from the pure elements: -612 meV per atom

Entry 6:
Compound: PrMgRh
Source: Alexandria
Functional: PBE-GGA
Structure: relaxed

a = 4.1969 Å, b = 7.3054 Å, c = 8.7578 Å
α = 90.00°, β = 90.00°, γ = 90.00°
Closest atoms and distances in Å follow each position.
Atoms (fractional coordinates):
Pr 0.2500 0.0388 0.3207  5 Rh 3.03-3.10, 5 Mg 3.36-3.39
Pr 0.7500 0.9612 0.6793  5 Rh 3.03-3.10, 5 Mg 3.36-3.39
Pr 0.2500 0.5388 0.1793  5 Rh 3.03-3.10, 5 Mg 3.36-3.39
Pr 0.7500 0.4612 0.8207  5 Rh 3.03-3.10, 5 Mg 3.36-3.39
Mg 0.2500 0.1334 0.9422  4 Rh 2.77-2.90, 2 Mg 3.04
Mg 0.7500 0.8666 0.0578  4 Rh 2.77-2.90, 2 Mg 3.04
Mg 0.2500 0.6334 0.5578  4 Rh 2.77-2.90, 2 Mg 3.04
Mg 0.7500 0.3666 0.4422  4 Rh 2.77-2.90, 2 Mg 3.04
Rh 0.7500 0.2469 0.1261  4 Mg 2.77-2.90, 5 Pr 3.03-3.10
Rh 0.2500 0.7531 0.8739  4 Mg 2.77-2.90, 5 Pr 3.03-3.10
Rh 0.7500 0.7469 0.3739  4 Mg 2.77-2.90, 5 Pr 3.03-3.10
Rh 0.2500 0.2531 0.6261  4 Mg 2.77-2.90, 5 Pr 3.03-3.10

Output
- Space-group type: Pnma (62)
- Energy of formation from the pure elements: -589 meV per atom

VASP energy values (in eV/cell) by entry order: -21.417, -111.291, -33.060, -32.050, -43.431, -61.966.